BaNi3B | PBE | relaxed

Cell: 4.900 4.900 4.900 Å, 90.00 90.00 90.00°
Element x y z (fractional)
Ni: 0.000 0.500 0.000
Ni: 0.000 0.000 0.500
Ni: 0.500 0.000 0.000
B: 0.500 0.500 0.500
Ba: 0.000 0.000 0.000

Output
Energy relative to the lowest polymorph listed for this composition   2.4430 eV/atom
Formation energy from the elements   2.613 eV/atom
DOS at the Fermi energy   6.231 states/eV per cell
Symmetry   No. 221
E   -2.576 eV/atom


Sr3Sb | PBE | relaxed

Cell: 4.488 4.481 9.230 Å, 61.40 90.00 90.00°
Element x y z (fractional)
Sb: 0.000 0.000 0.000
Sr: 0.500 0.709 0.797
Sr: 0.000 0.500 0.500
Sr: 0.500 0.291 0.203

Output
Energy relative to the lowest polymorph listed for this composition   0.1054 eV/atom
DOS at the Fermi energy   2.294 states/eV per cell
Symmetry   No. 10
E   -2.772 eV/atom
Formation energy (no corrections)   -0.48 eV/atom


La2DyPb9 | PBE | relaxed

Cell: 4.945 4.945 14.738 Å, 90.00 90.00 90.00°
Element x y z (fractional)
La: 0.000 0.000 0.332
La: 0.000 0.000 0.668
Dy: 0.000 0.000 0.000
Pb: 0.500 0.500 0.000
Pb: 0.500 0.500 0.331
Pb: 0.500 0.500 0.669
Pb: 0.500 0.000 0.161
Pb: 0.500 0.000 0.500
Pb: 0.500 0.000 0.839
Pb: 0.000 0.500 0.161
Pb: 0.000 0.500 0.500
Pb: 0.000 0.500 0.839

Output
Formation energy from the elements   -0.392 eV/atom
DOS at the Fermi energy   6.270 states/eV per cell
Symmetry   No. 123
E   -4.378 eV/atom


LiHoSn2 | PBE | relaxed

Cell: 4.401 4.623 4.623 Å, 90.00 90.00 90.00°
Element x y z (fractional)
Li: 0.500 0.000 0.000
Ho: 0.500 0.500 0.500
Sn: 0.000 0.000 0.500
Sn: 0.000 0.500 0.000

Output
Energy relative to the lowest polymorph listed for this composition   0.0000 eV/atom
Formation energy from the elements   -0.549 eV/atom
DOS at the Fermi energy   1.356 states/eV per cell
Symmetry   No. 123
E   -4.173 eV/atom


Zr5Fe2Sb | PBE | relaxed

Cell: 6.996 6.996 8.248 Å, 115.10 115.10 90.00°
Element x y z (fractional)
Zr: 0.525 0.711 0.736
Zr: 0.789 0.975 0.264
Zr: 0.000 0.000 0.000
Zr: 0.500 0.500 0.000
Zr: 0.211 0.025 0.736
Zr: 0.711 0.211 0.736
Zr: 0.025 0.525 0.736
Zr: 0.289 0.789 0.264
Zr: 0.975 0.475 0.264
Zr: 0.475 0.289 0.264
Fe: 0.139 0.361 0.000
Fe: 0.639 0.139 0.000
Fe: 0.361 0.861 0.000
Fe: 0.861 0.639 0.000
Sb: 0.750 0.750 0.500
Sb: 0.250 0.250 0.500

Output
DOS at the Fermi energy   18.165 states/eV per cell
Symmetry   No. 140
E   -8.262 eV/atom
Formation energy (no corrections)   -0.29 eV/atom


ZrZnAg | PBE | relaxed

Cell: 4.422 4.422 4.422 Å, 60.00 60.00 60.00°
Element x y z (fractional)
Ag: 0.500 0.500 0.500
Zn: 0.750 0.750 0.750
Zr: 0.000 0.000 0.000

Output
Formation energy from the elements   0.170 eV/atom
DOS at the Fermi energy   4.564 states/eV per cell
Symmetry   No. 216
E   -4.055 eV/atom


DyCd8Hg2 | PBE | relaxed

Cell: 5.906 7.517 7.517 Å, 64.45 74.04 74.04°
Element x y z (fractional)
Dy: 0.000 0.000 0.000
Cd: 0.118 0.137 0.523
Cd: 0.118 0.523 0.137
Cd: 0.882 0.863 0.477
Cd: 0.263 0.499 0.499
Cd: 0.882 0.477 0.863
Cd: 0.397 0.119 0.119
Cd: 0.603 0.881 0.881
Cd: 0.737 0.501 0.501
Hg: 0.657 0.278 0.278
Hg: 0.343 0.722 0.722

Output
Formation energy from the elements   0.028 eV/atom
DOS at the Fermi energy   5.782 states/eV per cell
Symmetry   No. 12
E   -1.110 eV/atom


Y2TlOs | PBE | relaxed

Cell: 3.555 4.586 6.171 Å, 90.00 90.00 90.00°
Element x y z (fractional)
Os: 0.000 0.000 0.423
Tl: 0.500 0.500 0.787
Y: 0.000 0.000 0.978
Y: 0.500 0.500 0.312

Output
Energy relative to the lowest polymorph listed for this composition   0.4750 eV/atom
Formation energy from the elements   0.168 eV/atom
DOS at the Fermi energy   2.896 states/eV per cell
Symmetry   No. 25
E   -6.463 eV/atom


> E of number 8 (Y2TlOs)?

-6.463 eV/atom


> Which of these has the highest E?

DyCd8Hg2


> Which of these has the lowest E?

Zr5Fe2Sb


Please write out number 5 again, unchanged.
Zr5Fe2Sb | PBE | relaxed

Cell: 6.996 6.996 8.248 Å, 115.10 115.10 90.00°
Element x y z (fractional)
Zr: 0.525 0.711 0.736
Zr: 0.789 0.975 0.264
Zr: 0.000 0.000 0.000
Zr: 0.500 0.500 0.000
Zr: 0.211 0.025 0.736
Zr: 0.711 0.211 0.736
Zr: 0.025 0.525 0.736
Zr: 0.289 0.789 0.264
Zr: 0.975 0.475 0.264
Zr: 0.475 0.289 0.264
Fe: 0.139 0.361 0.000
Fe: 0.639 0.139 0.000
Fe: 0.361 0.861 0.000
Fe: 0.861 0.639 0.000
Sb: 0.750 0.750 0.500
Sb: 0.250 0.250 0.500

Output
DOS at the Fermi energy   18.165 states/eV per cell
Symmetry   No. 140
E   -8.262 eV/atom
Formation energy (no corrections)   -0.29 eV/atom